DFT (meta-GGA SCAN) results for YTcSb2Te at its PBEsol-relaxed geometry.

Summary:
The calculation puts the mass density at 5.2 g/cm3. The calculation puts the energy relative to the elements, uncorrected at 0.98 eV/atom. For the magnetic moment, the calculation gives 4.2 μB/f.u. The space-group type is P4/mmm (123). The calculation puts the total energy at -169.75 eV/cell. The density of states at the Fermi level comes out at 0.74 states/eV per atom.

Cell and atoms, written as extended XYZ:
```
5
Lattice="5.643 0.000 0.000 0.000 5.643 0.000 0.000 0.000 5.611" Properties=species:S:1:pos:R:3 pbc="T T T"
Y 0.000 0.000 0.000
Tc 2.821 2.821 2.805
Sb 0.000 2.821 0.000
Sb 2.821 0.000 0.000
Te 0.000 0.000 2.805
```